{
  "formula": "Gd2GeBr2",
  "functional": "PBE",
  "state": "relaxed",
  "lattice_angstrom": [[4.200, 0.000, 0.000], [-2.100, 3.637, 0.000], [0.000, 0.000, 10.502]],
  "species": ["Gd", "Gd", "Ge", "Br", "Br"],
  "fractional_positions": [[0.333, 0.667, 0.156], [0.667, 0.333, 0.844], [0.000, 0.000, 0.000], [0.333, 0.667, 0.677], [0.667, 0.333, 0.323]],
  "dos_ef_per_ev_atom": 0.148
}

***

{
  "formula": "GdH2Br",
  "functional": "PBE",
  "state": "relaxed",
  "lattice_angstrom": [[-2.100, -2.950, 1.047], [-1.464, -2.292, -2.610], [2.817, -4.528, -0.325]],
  "species": ["H", "H", "Gd", "Br"],
  "fractional_positions": [[0.306, 0.306, 0.081], [0.694, 0.694, 0.919], [0.000, 0.000, 0.000], [0.500, 0.500, 0.500]],
  "dos_ef_per_ev_atom": 0.241,
  "polymorph_energy_mev_per_atom": 0
}

***

{
  "formula": "GdH2Br",
  "functional": "PBE",
  "state": "relaxed",
  "lattice_angstrom": [[-2.466, -0.368, 2.008], [1.573, -2.350, 1.501], [2.431, 4.003, 3.720]],
  "species": ["H", "H", "Gd", "Br"],
  "fractional_positions": [[0.000, 0.000, 0.841], [0.000, 0.000, 0.159], [0.500, 0.500, 0.000], [0.500, 0.500, 0.500]],
  "dos_ef_per_ev_atom": 0.424,
  "polymorph_energy_mev_per_atom": 624
}

***

{
  "formula": "GdHgBr2",
  "functional": "PBE",
  "state": "relaxed",
  "lattice_angstrom": [[-3.715, -1.209, 0.647], [-0.868, -2.073, 3.260], [-3.763, 8.826, 7.015]],
  "species": ["Gd", "Hg", "Br", "Br"],
  "fractional_positions": [[0.500, 0.500, 0.500], [0.000, 0.000, 0.000], [0.115, 0.115, 0.656], [0.885, 0.885, 0.344]],
  "dos_ef_per_ev_atom": 1.105
}

***

{
  "formula": "GdHg2Br4",
  "functional": "PBE",
  "state": "relaxed",
  "lattice_angstrom": [[5.703, 0.000, 0.000], [0.000, 5.703, 0.000], [2.851, 2.851, 8.374]],
  "species": ["Gd", "Hg", "Hg", "Br", "Br", "Br", "Br"],
  "fractional_positions": [[0.000, 0.000, 0.000], [0.650, 0.650, 0.701], [0.350, 0.350, 0.299], [0.835, 0.835, 0.329], [0.165, 0.165, 0.671], [0.000, 0.500, 0.000], [0.500, 0.000, 0.000]],
  "dos_ef_per_ev_atom": 1.023
}

***

{
  "formula": "GdHgBr3",
  "functional": "PBE",
  "state": "relaxed",
  "lattice_angstrom": [[-0.907, 2.407, -5.065], [-5.273, -2.113, -0.060], [-1.910, 4.691, 2.572]],
  "species": ["Gd", "Hg", "Br", "Br", "Br"],
  "fractional_positions": [[0.000, 0.000, 0.000], [0.500, 0.500, 0.500], [0.000, 0.500, 0.000], [0.000, 0.000, 0.500], [0.500, 0.000, 0.000]]
}

***

{
  "formula": "GdHg2Br",
  "functional": "PBE",
  "state": "relaxed",
  "lattice_angstrom": [[-1.752, 3.113, -1.115], [-3.592, 0.549, 0.896], [1.190, 6.091, 8.852]],
  "species": ["Gd", "Hg", "Hg", "Br"],
  "fractional_positions": [[0.000, 0.000, 0.000], [0.096, 0.096, 0.712], [0.904, 0.904, 0.288], [0.500, 0.500, 0.500]],
  "dos_ef_per_ev_atom": 1.035
}

***

{
  "formula": "LaGdHgBr",
  "functional": "PBE",
  "state": "relaxed",
  "lattice_angstrom": [[-4.281, 3.214, 0.795], [-4.328, -1.867, 2.659], [-1.122, 1.833, 4.967]],
  "species": ["Gd", "Hg", "Br", "La"],
  "fractional_positions": [[0.000, 0.000, 0.000], [0.750, 0.750, 0.750], [0.250, 0.250, 0.250], [0.500, 0.500, 0.500]],
  "dos_ef_per_ev_atom": 1.052
}

***

{
  "formula": "NdGdHgBr",
  "functional": "PBE",
  "state": "relaxed",
  "lattice_angstrom": [[5.365, 0.000, 0.000], [2.682, 4.646, 0.000], [2.682, 1.549, 4.380]],
  "species": ["Gd", "Nd", "Hg", "Br"],
  "fractional_positions": [[0.750, 0.750, 0.750], [0.250, 0.250, 0.250], [0.000, 0.000, 0.000], [0.500, 0.500, 0.500]],
  "dos_ef_per_ev_atom": 1.141
}

***

{
  "formula": "PmGdHgBr",
  "functional": "PBE",
  "state": "relaxed",
  "lattice_angstrom": [[-2.969, -3.770, -2.357], [0.537, -5.119, 1.446], [-3.900, -2.429, 2.734]],
  "species": ["Gd", "Hg", "Br", "Pm"],
  "fractional_positions": [[0.500, 0.500, 0.500], [0.750, 0.750, 0.750], [0.250, 0.250, 0.250], [0.000, 0.000, 0.000]],
  "dos_ef_per_ev_atom": 1.103
}

***

{
  "formula": "PrGdHgBr",
  "functional": "PBE",
  "state": "relaxed",
  "lattice_angstrom": [[5.384, 0.000, 0.000], [2.692, 4.663, 0.000], [2.692, 1.554, 4.396]],
  "species": ["Pr", "Gd", "Hg", "Br"],
  "fractional_positions": [[0.000, 0.000, 0.000], [0.500, 0.500, 0.500], [0.750, 0.750, 0.750], [0.250, 0.250, 0.250]],
  "dos_ef_per_ev_atom": 1.081
}

***

{
  "formula": "GdHoBr2",
  "functional": "PBE",
  "state": "relaxed",
  "lattice_angstrom": [[3.644, 0.000, 0.000], [1.822, 3.156, 0.000], [1.822, 1.052, 10.111]],
  "species": ["Gd", "Ho", "Br", "Br"],
  "fractional_positions": [[0.000, 0.000, 0.000], [0.500, 0.500, 0.500], [0.098, 0.098, 0.705], [0.902, 0.902, 0.295]],
  "dos_ef_per_ev_atom": 1.226
}

***

Number 1: energy -8.69 eV/atom. Number 2: energy -6.56 eV/atom. Number 3: energy -5.93 eV/atom. Number 4: energy -5.64 eV/atom. Number 5: energy -4.00 eV/atom. Number 6: energy -5.27 eV/atom. Number 7: energy -4.20 eV/atom. Number 8: energy -5.91 eV/atom. Number 9: energy -5.82 eV/atom. Number 10: energy -5.81 eV/atom. Number 11: energy -5.83 eV/atom. Number 12: energy -6.47 eV/atom.